[1]
A geometry-optimized HgMo structure, computed with GGA-PBE.

Computed properties:
The formation energy is 663 meV per atom. The calculation puts the total moment at 0.0 μB per cell. The value obtained for the raw total energy is -4.90 eV/atom.

Cell lengths 11.481, 2.821, 7.016 Å; angles 90.00, 104.07, 90.00 degrees
Space group Cm (No. 8)
Symmetry-distinct sites (fractional):
Hg (0.000, 0.000, 0.000)
Hg (0.065, 0.000, 0.625)
Hg (0.168, 0.500, 0.330)
Mo (0.244, 0.500, 0.953)
Mo (0.338, 0.000, 0.657)
Mo (0.383, 0.000, 0.294)

[2]
A geometry-optimized HgMo structure, computed with GGA-PBE.

Computed properties:
The formation energy is 574 meV per atom. The calculation puts the total moment at 0.0 μB per cell. The value obtained for the raw total energy is -4.99 eV/atom.

Cell lengths 8.253, 8.253, 4.676 Å; angles 90.00, 90.00, 90.00 degrees
Space group I4/mmm (No. 139)
Symmetry-distinct sites (fractional):
Hg (0.000, 0.287, 0.000)
Mo (0.152, 0.152, 0.500)

[3]
A geometry-optimized HgMo structure, computed with GGA-PBE.

Computed properties:
The formation energy is 1267 meV per atom. The calculation puts the total moment at 0.0 μB per cell. The value obtained for the raw total energy is -4.30 eV/atom.

Cell lengths 8.621, 8.621, 8.621 Å; angles 90.00, 90.00, 90.00 degrees
Space group I-43m (No. 217)
Symmetry-distinct sites (fractional):
Hg (0.212, 0.212, 0.788)
Mo (0.101, 0.101, 0.101)